# 1
First-principles (PBE-GGA) data for a relaxed Ac12IrPt5 crystal, as listed in Alexandria.

* ΔE_f: -75 kJ/mol of atoms
* density of states at the Fermi level: 0.8729 states/eV per atom
* total magnetization: 0.0 μB per formula unit
* calculated total energy: -5.68 eV/atom

a = 7.687 Å, b = 13.316 Å, c = 14.130 Å
α = 90.00°, β = 100.33°, γ = 90.00°
Space group C2/m (No. 12)
One atom of each set of equivalent atoms:
Ac (0.128, 0.000, 0.382) (multiplicity 4)
Ac (0.128, 0.333, 0.381) (multiplicity 8)
Ac (0.202, 0.163, 0.115) (multiplicity 8)
Ac (0.211, 0.500, 0.115) (multiplicity 4)
Ir (0.000, 0.000, 0.000) (multiplicity 2)
Pt (0.000, 0.167, 0.500) (multiplicity 4)
Pt (0.000, 0.333, 0.000) (multiplicity 4)
Pt (0.000, 0.500, 0.500) (multiplicity 2)

# 2
First-principles (PBE-GGA) data for a relaxed Ac4IrPt2Rh crystal, as listed in Alexandria.

* ΔE_f: -83 kJ/mol of atoms
* density of states at the Fermi level: 0.4373 states/eV per atom
* total magnetization: 0.0 μB per formula unit
* calculated total energy: -6.45 eV/atom

a = 7.509 Å, b = 4.355 Å, c = 7.532 Å
α = 90.00°, β = 109.44°, γ = 90.00°
Space group P2/m (No. 10)
One atom of each set of equivalent atoms:
Ac (0.245, 0.000, 0.240) (multiplicity 2)
Ac (0.251, 0.500, 0.758) (multiplicity 2)
Ir (0.000, 0.500, 0.000) (multiplicity 1)
Pt (0.000, 0.000, 0.500) (multiplicity 1)
Pt (0.500, 0.500, 0.500) (multiplicity 1)
Rh (0.500, 0.000, 0.000) (multiplicity 1)